Arrangement a

Material: NaNdCl4
Method: DFT, PBE
State: optimized geometry

Cell and atoms, written as CIF:
```
data_NaNdCl4
_symmetry_space_group_name_H-M 'P 1 21/c 1'
_symmetry_Int_Tables_number 14
_cell_length_a 7.1255
_cell_length_b 6.8971
_cell_length_c 7.0640
_cell_angle_alpha 90.00
_cell_angle_beta 96.94
_cell_angle_gamma 90.00
loop_
_symmetry_equiv_pos_as_xyz
'x,y,z'
'-x,-y,-z'
'-x,y+1/2,-z+1/2'
'x,-y+1/2,z+1/2'
loop_
_atom_site_label
_atom_site_type_symbol
_atom_site_fract_x
_atom_site_fract_y
_atom_site_fract_z
Na1 Na 0.0000 0.0000 0.0000
Nd1 Nd 0.5000 0.0000 0.5000
Cl1 Cl 0.1660 0.1591 0.3546
Cl2 Cl 0.3574 0.6625 0.3157
```

Values from the calculation:
- Total moment: 0.0 μB/cell
- Volume: 345 Å³/cell

---

Arrangement b

Material: NaNdCl4
Method: DFT, PBE
State: optimized geometry

Cell and atoms, written as CIF:
```
data_NaNdCl4
_symmetry_space_group_name_H-M 'P 1 21/c 1'
_symmetry_Int_Tables_number 14
_cell_length_a 9.3169
_cell_length_b 8.4852
_cell_length_c 7.5275
_cell_angle_alpha 90.00
_cell_angle_beta 91.69
_cell_angle_gamma 90.00
loop_
_symmetry_equiv_pos_as_xyz
'x,y,z'
'-x,-y,-z'
'-x,y+1/2,-z+1/2'
'x,-y+1/2,z+1/2'
loop_
_atom_site_label
_atom_site_type_symbol
_atom_site_fract_x
_atom_site_fract_y
_atom_site_fract_z
Na1 Na 0.1005 0.1032 0.2893
Nd1 Nd 0.3694 0.6248 0.2391
Cl1 Cl 0.1395 0.0863 0.6702
Cl2 Cl 0.1760 0.6780 0.5209
Cl3 Cl 0.3718 0.5444 0.8591
Cl4 Cl 0.4299 0.1716 0.9598
```

Values from the calculation:
- Total moment: 0.0 μB/cell
- Volume: 595 Å³/cell

---

It is arrangement a that is the least stable of them.

---

Arrangement a

Material: NaNiCl
Method: DFT, PBE
State: optimized geometry

Cell and atoms, written as CIF:
```
data_NaNiCl
_symmetry_space_group_name_H-M 'P 63/m m c'
_symmetry_Int_Tables_number 194
_symmetry_space_group_name_Hall '-P 6c 2c'
_cell_length_a 4.7152
_cell_length_b 4.7152
_cell_length_c 8.2951
_cell_angle_alpha 90.00
_cell_angle_beta 90.00
_cell_angle_gamma 120.00
loop_
_atom_site_label
_atom_site_type_symbol
_atom_site_fract_x
_atom_site_fract_y
_atom_site_fract_z
Na1 Na 0.3333 0.6667 0.2500
Ni1 Ni 0.0000 0.0000 0.0000
Cl1 Cl 0.0000 0.0000 0.2500
```

Values from the calculation:
- Total moment: 0.0 μB/cell
- Volume: 160 Å³/cell

---

Arrangement b

Material: NaNiCl
Method: DFT, PBE
State: optimized geometry

Cell and atoms, written as CIF:
```
data_NaNiCl
_symmetry_space_group_name_H-M 'C 1 m 1'
_symmetry_Int_Tables_number 8
_cell_length_a 10.3358
_cell_length_b 3.3868
_cell_length_c 7.0654
_cell_angle_alpha 90.00
_cell_angle_beta 108.47
_cell_angle_gamma 90.00
loop_
_symmetry_equiv_pos_as_xyz
'x,y,z'
'x,-y,z'
'x+1/2,y+1/2,z'
'x+1/2,-y+1/2,z'
loop_
_atom_site_label
_atom_site_type_symbol
_atom_site_fract_x
_atom_site_fract_y
_atom_site_fract_z
Na1 Na 0.0000 0.0000 0.0000
Na2 Na 0.1302 0.5000 0.5028
Ni1 Ni 0.2423 0.5000 0.0924
Ni2 Ni 0.3048 0.0000 0.3332
Cl1 Cl 0.2527 0.0000 0.8774
Cl2 Cl 0.4142 0.5000 0.5407
```

Values from the calculation:
- Total moment: 0.0 μB/cell
- Volume: 235 Å³/cell

---

It is arrangement a that is the least stable of them.